No. 1
First-principles (PBE-GGA) data for a geometry-optimized Na4PdO2 structure, as listed in the Alexandria database.

The structure in POSCAR format:
```
Na4PdO2
1.0
-2.622 -2.614 2.024
-2.868 -2.209 -2.169
2.844 -6.905 -0.834
Na O Pd
4 2 1
direct
0.395 0.395 0.814
0.792 0.792 0.624
0.208 0.208 0.376
0.605 0.605 0.186
0.100 0.100 0.701
0.900 0.900 0.299
0.000 0.000 0.000
```

mass density	3.49	Mg/m³
uncorrected formation energy	-915	meV/atom

No. 2
First-principles (PBE-GGA) data for a geometry-optimized NaPd3O6 structure, as listed in the Alexandria database.

The structure in POSCAR format:
```
NaPd3O6
1.0
-1.192 1.807 -2.236
1.160 -4.567 -4.310
-5.821 -0.710 2.529
O Pd Na
6 3 1
direct
0.500 0.326 0.674
0.500 0.674 0.326
0.000 0.079 0.333
0.000 0.921 0.667
0.000 0.667 0.921
0.000 0.333 0.079
0.000 0.000 0.000
0.500 0.500 0.000
0.500 0.000 0.500
0.000 0.500 0.500
```

density of states at the Fermi level	0.432	states/eV/atom
mass density	6.13	Mg/m³
uncorrected formation energy	-585	meV/atom

No. 3
First-principles (PBE-GGA) data for a geometry-optimized Na2PdO6 structure, as listed in the Alexandria database.

The structure in POSCAR format:
```
Na2PdO6
1.0
-2.604 5.187 -1.689
-2.920 -4.939 -1.903
-3.023 0.048 2.223
O Na Pd
6 2 1
direct
0.779 0.091 0.188
0.091 0.779 0.188
0.699 0.699 0.800
0.301 0.301 0.200
0.909 0.221 0.812
0.221 0.909 0.812
0.642 0.358 0.500
0.358 0.642 0.500
0.000 0.000 0.500
```

density of states at the Fermi level	0.317	states/eV/atom
mass density	3.52	Mg/m³
uncorrected formation energy	-539	meV/atom

No. 4
First-principles (PBE-GGA) data for a geometry-optimized Na2PdO6 structure, as listed in the Alexandria database.

The structure in POSCAR format:
```
Na2PdO6
1.0
2.999 -5.195 0.000
2.999 5.195 0.000
0.000 0.000 3.701
O Na Pd
6 2 1
direct
0.273 0.273 0.696
0.000 0.727 0.696
0.727 0.000 0.696
0.273 0.000 0.304
0.000 0.273 0.304
0.727 0.727 0.304
0.333 0.667 0.000
0.667 0.333 0.000
0.000 0.000 0.000
```

density of states at the Fermi level	0.201	states/eV/atom
mass density	3.58	Mg/m³
uncorrected formation energy	-128	meV/atom

No. 5
First-principles (PBE-GGA) data for a geometry-optimized Na3Pd2O4 structure, as listed in the Alexandria database.

The structure in POSCAR format:
```
Na3Pd2O4
1.0
3.979 0.000 0.000
-1.989 5.245 -1.450
0.000 -4.757 7.668
Pd O Na
2 4 3
direct
0.753 0.507 0.369
0.247 0.493 0.631
0.725 0.450 0.128
0.250 0.499 0.403
0.750 0.501 0.597
0.275 0.550 0.872
0.389 0.778 0.216
0.000 0.000 0.000
0.611 0.222 0.784
```

density of states at the Fermi level	0.728	states/eV/atom
mass density	4.33	Mg/m³
uncorrected formation energy	-880	meV/atom

No. 6
First-principles (PBE-GGA) data for a geometry-optimized Na3Pd2O4 structure, as listed in the Alexandria database.

The structure in POSCAR format:
```
Na3Pd2O4
1.0
-5.714 -0.493 0.887
-2.103 -0.658 -6.612
-0.137 -6.336 2.900
O Na Pd
8 6 4
direct
0.307 0.928 0.464
0.193 0.536 0.072
0.876 0.760 0.687
0.624 0.313 0.240
0.693 0.072 0.536
0.124 0.240 0.313
0.807 0.464 0.928
0.376 0.687 0.760
0.250 0.582 0.418
0.500 0.264 0.935
0.000 0.935 0.264
0.750 0.418 0.582
0.000 0.065 0.736
0.500 0.736 0.065
0.945 0.382 0.150
0.555 0.850 0.618
0.055 0.618 0.850
0.445 0.150 0.382
```

density of states at the Fermi level	0.451	states/eV/atom
mass density	4.44	Mg/m³
uncorrected formation energy	-914	meV/atom

| no. | uncorrected energy (Ry/atom) |
| --- | --- |
| 1 | -0.2813 |
| 2 | -0.3858 |
| 3 | -0.3465 |
| 4 | -0.3163 |
| 5 | -0.3438 |
| 6 | -0.3463 |